# 1
BaRhF: optimized geometry, PBE.

Calculated values
* E above lowest polymorph: 0 meV per atom
* ρ: 6.1 Mg/m³
* symmetry: C2/m
* energy relative to the elements, uncorrected: -1.866 eV/atom
* E_tot: -5.582 eV/atom

POSCAR file:
```
BaRhF
1.0
7.2191 0.0000 0.0000
0.0000 4.4307 0.0000
-2.5224 0.0000 8.8633
Ba Rh F
4 4 4
Direct
0.0948 0.0000 0.2849 Ba
0.4052 0.5000 0.7151 Ba
0.5948 0.5000 0.2849 Ba
0.9052 0.0000 0.7151 Ba
0.1753 0.5000 0.9955 Rh
0.3247 0.0000 0.0045 Rh
0.6753 0.0000 0.9955 Rh
0.8247 0.5000 0.0045 Rh
0.2088 0.0000 0.5999 F
0.2912 0.5000 0.4001 F
0.7088 0.5000 0.5999 F
0.7912 0.0000 0.4001 F
```

=====

# 2
BaRhF: optimized geometry, PBE.

Calculated values
* E above lowest polymorph: 787 meV per atom
* ρ: 5.5 Mg/m³
* symmetry: P6_3/mmc
* energy relative to the elements, uncorrected: -1.080 eV/atom
* E_tot: -4.795 eV/atom

POSCAR file:
```
BaRhF
1.0
4.6524 0.0000 0.0000
-2.3262 4.0291 0.0000
0.0000 0.0000 8.4046
Ba Rh F
2 2 2
Direct
0.3333 0.6667 0.2500 Ba
0.6667 0.3333 0.7500 Ba
0.0000 0.0000 0.0000 Rh
0.0000 0.0000 0.5000 Rh
0.0000 0.0000 0.2500 F
0.0000 0.0000 0.7500 F
```

=====

# 3
BaRhF2: optimized geometry, PBE.

Calculated values
* E above lowest polymorph: 228 meV per atom
* ρ: 5.8 Mg/m³
* symmetry: I-42d
* energy relative to the elements, uncorrected: -1.651 eV/atom
* E_tot: -4.905 eV/atom

POSCAR file:
```
BaRhF2
1.0
4.5667 0.0000 0.0000
0.0000 4.5667 0.0000
0.0000 0.0000 15.2905
Ba Rh F
4 4 8
Direct
0.0000 0.0000 0.0000 Ba
0.0000 0.5000 0.2500 Ba
0.5000 0.0000 0.7500 Ba
0.5000 0.5000 0.5000 Ba
0.0000 0.0000 0.5000 Rh
0.0000 0.5000 0.7500 Rh
0.5000 0.0000 0.2500 Rh
0.5000 0.5000 0.0000 Rh
0.1872 0.2500 0.6250 F
0.2500 0.6872 0.8750 F
0.2500 0.8128 0.3750 F
0.3128 0.2500 0.1250 F
0.6872 0.7500 0.1250 F
0.7500 0.1872 0.3750 F
0.7500 0.3128 0.8750 F
0.8128 0.7500 0.6250 F
```

=====

# 4
BaRh2F8: optimized geometry, PBE.

Calculated values
* ρ: 4.1 Mg/m³
* symmetry: P-3m1
* energy relative to the elements, uncorrected: -1.863 eV/atom
* E_tot: -4.736 eV/atom

POSCAR file:
```
BaRh2F8
1.0
7.5104 0.0000 0.0000
-3.7552 6.5042 0.0000
0.0000 0.0000 4.1322
Ba Rh F
1 2 8
Direct
0.0000 0.0000 0.0000 Ba
0.3333 0.6667 0.2921 Rh
0.6667 0.3333 0.7079 Rh
0.1787 0.3574 0.2901 F
0.1787 0.8213 0.2901 F
0.3333 0.6667 0.7920 F
0.3574 0.1787 0.7099 F
0.6426 0.8213 0.2901 F
0.6667 0.3333 0.2080 F
0.8213 0.1787 0.7099 F
0.8213 0.6426 0.7099 F
```